Record 1
{"formula": "LaThIr4", "functional": "PBE", "state": "optimized geometry", "cell": [[0.0000, 3.8625, 3.8625], [3.8625, 0.0000, 3.8625], [3.8625, 3.8625, 0.0000]], "species": ["La", "Th", "Ir", "Ir", "Ir", "Ir"], "frac_coords": [[0.0000, 0.0000, 0.0000], [0.7500, 0.7500, 0.7500], [0.3749, 0.3749, 0.3749], [0.3749, 0.3749, 0.8754], [0.3749, 0.8754, 0.3749], [0.8754, 0.3749, 0.3749]], "final_energy_ev_per_atom": -8.737, "spacegroup": "F-43m (216)"}

=====

Record 2
{"formula": "YFeCuB", "functional": "PBE", "state": "optimized geometry", "cell": [[6.0798, 0.0000, 0.0000], [0.0000, 6.0798, 0.0000], [0.0000, 0.0000, 6.0798]], "species": ["Y", "Y", "Y", "Y", "Fe", "Fe", "Fe", "Fe", "Cu", "Cu", "Cu", "Cu", "B", "B", "B", "B"], "frac_coords": [[0.0000, 0.0000, 0.0000], [0.0000, 0.5000, 0.5000], [0.5000, 0.0000, 0.5000], [0.5000, 0.5000, 0.0000], [0.2500, 0.2500, 0.2500], [0.2500, 0.7500, 0.7500], [0.7500, 0.2500, 0.7500], [0.7500, 0.7500, 0.2500], [0.2500, 0.2500, 0.7500], [0.2500, 0.7500, 0.2500], [0.7500, 0.2500, 0.2500], [0.7500, 0.7500, 0.7500], [0.0000, 0.0000, 0.5000], [0.0000, 0.5000, 0.0000], [0.5000, 0.0000, 0.0000], [0.5000, 0.5000, 0.5000]], "e_above_lowest_polymorph_mev_per_atom": 47, "spacegroup": "F-43m (216)"}

=====

Record 3
{"formula": "Zn2Ge2O5", "functional": "PBE", "state": "optimized geometry", "cell": [[3.6755, 0.0000, 0.0000], [0.0000, 3.6755, 0.0000], [0.0000, 0.0000, 7.4455]], "species": ["Zn", "Zn", "Ge", "Ge", "O", "O", "O", "O", "O"], "frac_coords": [[0.0000, 0.0000, 0.0000], [0.0000, 0.0000, 0.5000], [0.5000, 0.5000, 0.2468], [0.5000, 0.5000, 0.7532], [0.0000, 0.5000, 0.3183], [0.0000, 0.5000, 0.6817], [0.5000, 0.0000, 0.3183], [0.5000, 0.0000, 0.6817], [0.5000, 0.5000, 0.0000]], "e_above_lowest_polymorph_mev_per_atom": 0, "spacegroup": "P4/mmm (123)"}

=====

Record 4
{"formula": "LiCdAsPd", "functional": "PBE", "state": "optimized geometry", "cell": [[6.4380, 0.0000, 0.0000], [0.0000, 6.4380, 0.0000], [0.0000, 0.0000, 6.4380]], "species": ["Li", "Li", "Li", "Li", "Cd", "Cd", "Cd", "Cd", "As", "As", "As", "As", "Pd", "Pd", "Pd", "Pd"], "frac_coords": [[0.0000, 0.0000, 0.0000], [0.0000, 0.5000, 0.5000], [0.5000, 0.0000, 0.5000], [0.5000, 0.5000, 0.0000], [0.2500, 0.2500, 0.7500], [0.2500, 0.7500, 0.2500], [0.7500, 0.2500, 0.2500], [0.7500, 0.7500, 0.7500], [0.2500, 0.2500, 0.2500], [0.2500, 0.7500, 0.7500], [0.7500, 0.2500, 0.7500], [0.7500, 0.7500, 0.2500], [0.0000, 0.0000, 0.5000], [0.0000, 0.5000, 0.0000], [0.5000, 0.0000, 0.0000], [0.5000, 0.5000, 0.5000]], "e_above_lowest_polymorph_mev_per_atom": 0, "spacegroup": "F-43m (216)"}